(1)
# Be4OsCl

An optimized crystal structure of Be4OsCl (PBE, Alexandria via LeMat-Bulk). Values from VASP.

Formation energy (no corrections) = 0.42 eV/atom
Space group = No. 216
Calculated total energy = -4.246 eV per atom
DOS at the Fermi energy = 1.9 states/eV per cell

Structure (Quantum ESPRESSO input):
```
&SYSTEM
  ibrav = 0, nat = 6, ntyp = 3
/
ATOMIC_SPECIES
Be 9.01 Be.upf
Cl 35.45 Cl.upf
Os 190.23 Os.upf
CELL_PARAMETERS angstrom
-2.631 -3.303 1.464
-2.672 0.665 3.521
-4.426 0.250 -0.569
ATOMIC_POSITIONS crystal
Be 0.628 0.628 0.628
Be 0.117 0.628 0.628
Be 0.628 0.628 0.117
Be 0.628 0.117 0.628
Cl 0.250 0.250 0.250
Os 0.000 0.000 0.000
```



(2)
# Be2OsCl2

An optimized crystal structure of Be2OsCl2 (PBE, Alexandria via LeMat-Bulk). Values from VASP.

Formation energy (no corrections) = 0.74 eV/atom
Space group = No. 127
Calculated total energy = -3.731 eV per atom
DOS at the Fermi energy = 8.5 states/eV per cell
Energy above the lowest structure with this stoichiometry = 0.00 eV per formula unit

Structure (Quantum ESPRESSO input):
```
&SYSTEM
  ibrav = 0, nat = 10, ntyp = 3
/
ATOMIC_SPECIES
Cl 35.45 Cl.upf
Be 9.01 Be.upf
Os 190.23 Os.upf
CELL_PARAMETERS angstrom
6.597 0.000 0.000
0.000 6.597 0.000
0.000 0.000 4.171
ATOMIC_POSITIONS crystal
Cl 0.179 0.679 0.500
Cl 0.679 0.821 0.500
Cl 0.321 0.179 0.500
Cl 0.821 0.321 0.500
Be 0.730 0.770 0.000
Be 0.270 0.230 0.000
Be 0.230 0.730 0.000
Be 0.770 0.270 0.000
Os 0.000 0.000 0.000
Os 0.500 0.500 0.000
```



(3)
# BeOs2Cl

An optimized crystal structure of BeOs2Cl (PBE, Alexandria via LeMat-Bulk). Values from VASP.

Formation energy (no corrections) = 0.69 eV/atom
Space group = No. 123
Calculated total energy = -6.318 eV per atom
DOS at the Fermi energy = 3.5 states/eV per cell
Energy above the lowest structure with this stoichiometry = 1.83 eV per formula unit

Structure (Quantum ESPRESSO input):
```
&SYSTEM
  ibrav = 0, nat = 4, ntyp = 3
/
ATOMIC_SPECIES
Be 9.01 Be.upf
Os 190.23 Os.upf
Cl 35.45 Cl.upf
CELL_PARAMETERS angstrom
2.854 0.000 0.000
0.000 2.854 0.000
0.000 0.000 6.862
ATOMIC_POSITIONS crystal
Be 0.500 0.500 0.250
Os 0.000 0.000 0.066
Os 0.000 0.000 0.434
Cl 0.500 0.500 0.750
```



(4)
# BeOsCl

An optimized crystal structure of BeOsCl (PBE, Alexandria via LeMat-Bulk). Values from VASP.

Formation energy (no corrections) = 0.40 eV/atom
Space group = No. 107
Calculated total energy = -5.206 eV per atom
DOS at the Fermi energy = 2.9 states/eV per cell
Energy above the lowest structure with this stoichiometry = 0.54 eV per formula unit

Structure (Quantum ESPRESSO input):
```
&SYSTEM
  ibrav = 0, nat = 3, ntyp = 3
/
ATOMIC_SPECIES
Cl 35.45 Cl.upf
Be 9.01 Be.upf
Os 190.23 Os.upf
CELL_PARAMETERS angstrom
-0.548 -0.104 6.081
-3.552 -2.158 4.475
3.145 -0.527 -5.208
ATOMIC_POSITIONS crystal
Cl 0.329 0.329 0.000
Be 0.142 0.142 0.000
Os 0.529 0.529 0.000
```



(5)
# BeOs2Cl

An optimized crystal structure of BeOs2Cl (PBE, Alexandria via LeMat-Bulk). Values from VASP.

Formation energy (no corrections) = 0.68 eV/atom
Space group = No. 166
Calculated total energy = -6.333 eV per atom
DOS at the Fermi energy = 1.2 states/eV per cell
Energy above the lowest structure with this stoichiometry = 1.77 eV per formula unit

Structure (Quantum ESPRESSO input):
```
&SYSTEM
  ibrav = 0, nat = 4, ntyp = 3
/
ATOMIC_SPECIES
Os 190.23 Os.upf
Cl 35.45 Cl.upf
Be 9.01 Be.upf
CELL_PARAMETERS angstrom
8.266 0.025 0.015
7.796 2.750 0.015
7.796 1.347 2.397
ATOMIC_POSITIONS crystal
Os 0.994 0.994 0.994
Os 0.506 0.506 0.506
Cl 0.750 0.750 0.750
Be 0.250 0.250 0.250
```



(6)
# BeOsCl3

An optimized crystal structure of BeOsCl3 (PBE, Alexandria via LeMat-Bulk). Values from VASP.

Formation energy (no corrections) = 0.73 eV/atom
Space group = No. 221
Calculated total energy = -3.366 eV per atom
DOS at the Fermi energy = 8.8 states/eV per cell
Energy above the lowest structure with this stoichiometry = 0.22 eV per formula unit

Structure (Quantum ESPRESSO input):
```
&SYSTEM
  ibrav = 0, nat = 5, ntyp = 3
/
ATOMIC_SPECIES
Cl 35.45 Cl.upf
Os 190.23 Os.upf
Be 9.01 Be.upf
CELL_PARAMETERS angstrom
4.802 0.000 0.000
0.000 4.802 0.000
0.000 0.000 4.802
ATOMIC_POSITIONS crystal
Cl 0.000 0.000 0.500
Cl 0.000 0.500 0.000
Cl 0.500 0.000 0.000
Os 0.000 0.000 0.000
Be 0.500 0.500 0.500
```